## BaNpCoO5 (GGA+U)

Data for BaNpCoO5 after structural relaxation.

abc: 6.1684 6.1684 8.0727
angles: 104.49 104.49 106.55
Atoms (fractional coordinates):
Ba (0.1690, 0.8310, 0.7500)
Ba (0.8310, 0.1690, 0.2500)
Np (0.5000, 0.5000, 0.0000)
Np (0.5000, 0.5000, 0.5000)
Co (0.1904, 0.8096, 0.2500)
Co (0.8096, 0.1904, 0.7500)
O (0.1498, 0.2672, 0.9026)
O (0.2161, 0.6084, 0.4055)
O (0.2672, 0.1498, 0.4026)
O (0.3916, 0.7839, 0.0945)
O (0.4363, 0.5637, 0.7500)
O (0.5637, 0.4363, 0.2500)
O (0.6084, 0.2161, 0.9055)
O (0.7328, 0.8502, 0.5974)
O (0.7839, 0.3916, 0.5945)
O (0.8502, 0.7328, 0.0974)

space group	No. 15
calculated total energy	-0.592	Ry per atom